Record 1
## Cr2TcGeSe (GGA-PBE)

Data for a relaxed structure of Cr2TcGeSe.

## Properties
Space-group type = P4/mmm, No. 123
Formation energy without anion corrections = 6.6 eV per formula unit
Density of states at the Fermi level = 5.75 states/eV/f.u.

Cell: 4.4710 5.0482 4.4710 Å, 90.00 90.00 90.00°
Closest atoms and distances in Å follow each position.
Fractional coordinates of all 5 atoms:
Cr 0.5000 0.0000 0.0000  2 Se 2.24
Ge 0.0000 0.5000 0.0000  2 Se 2.52
Cr 0.0000 0.0000 0.5000  2 Se 2.24
Tc 0.5000 0.5000 0.5000  4 Ge 3.16, 8 Cr 3.37
Se 0.0000 0.0000 0.0000  4 Cr 2.24

Record 2
## CsMgBiI6 (GGA-PBE)

Data for a relaxed structure of CsMgBiI6.

## Properties
Space-group type = P312, No. 149
Formation energy without anion corrections = -8.1 eV per formula unit
Density of states at the Fermi level = 0.00 states/eV/f.u.

Cell: 7.8497 7.8497 8.7282 Å, 90.00 90.00 59.99°
Closest atoms and distances in Å follow each position.
Fractional coordinates of all 9 atoms:
Bi 0.3333 0.3334 0.5000  6 I 3.11
I 0.6357 0.9848 0.2996  1 Mg 2.96, 1 Bi 3.11
I 0.3794 0.9850 0.7003  1 Mg 2.96, 1 Bi 3.11
I 0.6356 0.3795 0.7004  1 Mg 2.96, 1 Bi 3.11
Mg 0.6666 0.6667 0.5000  6 I 2.96
I 0.9849 0.3794 0.2997  1 Mg 2.96, 1 Bi 3.11
I 0.3795 0.6356 0.2996  1 Mg 2.96, 1 Bi 3.11
I 0.9848 0.6357 0.7003  1 Mg 2.96, 1 Bi 3.11
Cs 0.0000 0.0000 0.0000  6 I 3.92

Record 3
## Nd2YC2I2 (GGA-PBE)

Data for a relaxed structure of Nd2YC2I2.

## Properties
Space-group type = I4/mmm, No. 139
Formation energy without anion corrections = -3.3 eV per formula unit
Density of states at the Fermi level = 1.89 states/eV/f.u.

Cell: 4.5200 4.5200 10.3813 Å, 102.57 102.57 90.00°
Closest atoms and distances in Å follow each position.
Fractional coordinates of all 7 atoms:
Nd 0.4202 0.4202 0.8404  4 C 2.76
C 0.0000 0.5000 0.0000  2 Y 2.26
Nd 0.5798 0.5798 0.1596  4 C 2.76
C 0.5000 0.0000 0.0000  2 Y 2.26
I 0.8355 0.8355 0.6711  1 Y 3.25, 4 Nd 3.61
I 0.1645 0.1645 0.3289  1 Y 3.25, 4 Nd 3.61
Y 0.0000 0.0000 0.0000  4 C 2.26